Arrangement one

# PBE KSi2W, optimized geometry
# Fermi-level density of states ... 3.6 states/eV/cell
data_KSi2W
_space_group_name_H-M_alt 'P 1'
_space_group_IT_number 1
_cell_length_a 8.388
_cell_length_b 3.191
_cell_length_c 7.713
_cell_angle_alpha 90.00
_cell_angle_beta 116.49
_cell_angle_gamma 90.00
loop_
_space_group_symop_operation_xyz
'x,y,z'
loop_
_atom_site_label
_atom_site_fract_x
_atom_site_fract_y
_atom_site_fract_z
K1 0.000 0.000 0.000
K2 0.500 0.500 0.000
Si1 0.067 0.500 0.640
Si2 0.383 0.500 0.388
Si3 0.567 0.000 0.640
Si4 0.883 0.000 0.388
W1 0.226 0.000 0.516
W2 0.726 0.500 0.516

Arrangement two

# PBE KSi2W, optimized geometry
# Fermi-level density of states ... 3.7 states/eV/cell
data_KSi2W
_space_group_name_H-M_alt 'P 1'
_space_group_IT_number 1
_cell_length_a 3.394
_cell_length_b 4.512
_cell_length_c 9.619
_cell_angle_alpha 90.00
_cell_angle_beta 90.00
_cell_angle_gamma 90.00
loop_
_space_group_symop_operation_xyz
'x,y,z'
loop_
_atom_site_label
_atom_site_fract_x
_atom_site_fract_y
_atom_site_fract_z
K1 0.000 0.000 0.000
K2 0.500 0.500 0.000
Si1 0.000 0.000 0.514
Si2 0.000 0.500 0.707
Si3 0.500 0.000 0.707
Si4 0.500 0.500 0.514
W1 0.000 0.500 0.314
W2 0.500 0.000 0.314

Arrangement three

# PBE KSi2W, optimized geometry
# Fermi-level density of states ... 5.6 states/eV/cell
data_KSi2W
_space_group_name_H-M_alt 'P 1'
_space_group_IT_number 1
_cell_length_a 6.544
_cell_length_b 7.934
_cell_length_c 2.722
_cell_angle_alpha 90.00
_cell_angle_beta 90.00
_cell_angle_gamma 90.00
loop_
_space_group_symop_operation_xyz
'x,y,z'
loop_
_atom_site_label
_atom_site_fract_x
_atom_site_fract_y
_atom_site_fract_z
K1 0.000 0.000 0.000
K2 0.500 0.500 0.000
Si1 0.250 0.250 0.500
Si2 0.250 0.750 0.500
Si3 0.750 0.250 0.500
Si4 0.750 0.750 0.500
W1 0.000 0.500 0.000
W2 0.500 0.000 0.000

Which of them is the least stable? Correct choice: arrangement three.

Arrangement one

# PBE KSi2W, optimized geometry
# Fermi-level density of states ... 11.4 states/eV/cell
data_KSi2W
_space_group_name_H-M_alt 'P 1'
_space_group_IT_number 1
_cell_length_a 3.138
_cell_length_b 3.138
_cell_length_c 27.674
_cell_angle_alpha 90.00
_cell_angle_beta 90.00
_cell_angle_gamma 120.00
loop_
_space_group_symop_operation_xyz
'x,y,z'
loop_
_atom_site_label
_atom_site_fract_x
_atom_site_fract_y
_atom_site_fract_z
K1 0.000 0.000 0.000
K2 0.333 0.667 0.667
K3 0.667 0.333 0.333
Si1 0.000 0.000 0.233
Si2 0.000 0.000 0.767
Si3 0.333 0.667 0.434
Si4 0.333 0.667 0.899
Si5 0.667 0.333 0.101
Si6 0.667 0.333 0.566
W1 0.000 0.000 0.500
W2 0.333 0.667 0.167
W3 0.667 0.333 0.833

Arrangement two

# PBE KSi2W, optimized geometry
# Fermi-level density of states ... 10.2 states/eV/cell
data_KSi2W
_space_group_name_H-M_alt 'P 1'
_space_group_IT_number 1
_cell_length_a 6.508
_cell_length_b 6.508
_cell_length_c 6.508
_cell_angle_alpha 90.00
_cell_angle_beta 90.00
_cell_angle_gamma 90.00
loop_
_space_group_symop_operation_xyz
'x,y,z'
loop_
_atom_site_label
_atom_site_fract_x
_atom_site_fract_y
_atom_site_fract_z
K1 0.000 0.000 0.000
K2 0.000 0.500 0.500
K3 0.500 0.000 0.500
K4 0.500 0.500 0.000
Si1 0.000 0.000 0.500
Si2 0.000 0.500 0.000
Si3 0.250 0.250 0.250
Si4 0.250 0.750 0.750
Si5 0.500 0.000 0.000
Si6 0.500 0.500 0.500
Si7 0.750 0.250 0.750
Si8 0.750 0.750 0.250
W1 0.250 0.250 0.750
W2 0.250 0.750 0.250
W3 0.750 0.250 0.250
W4 0.750 0.750 0.750

Arrangement three

# PBE KSi2W, optimized geometry
# Fermi-level density of states ... 3.2 states/eV/cell
data_KSi2W
_space_group_name_H-M_alt 'P 1'
_space_group_IT_number 1
_cell_length_a 8.387
_cell_length_b 3.217
_cell_length_c 6.868
_cell_angle_alpha 90.00
_cell_angle_beta 100.97
_cell_angle_gamma 90.00
loop_
_space_group_symop_operation_xyz
'x,y,z'
loop_
_atom_site_label
_atom_site_fract_x
_atom_site_fract_y
_atom_site_fract_z
K1 0.000 0.000 0.000
K2 0.500 0.500 0.000
Si1 0.228 0.000 0.626
Si2 0.272 0.500 0.374
Si3 0.728 0.500 0.626
Si4 0.772 0.000 0.374
W1 0.000 0.500 0.500
W2 0.500 0.000 0.500

Arrangement four

# PBE KSi2W, optimized geometry
# Fermi-level density of states ... 3.8 states/eV/cell
data_KSi2W
_space_group_name_H-M_alt 'P 1'
_space_group_IT_number 1
_cell_length_a 3.781
_cell_length_b 4.432
_cell_length_c 9.021
_cell_angle_alpha 90.00
_cell_angle_beta 90.00
_cell_angle_gamma 90.00
loop_
_space_group_symop_operation_xyz
'x,y,z'
loop_
_atom_site_label
_atom_site_fract_x
_atom_site_fract_y
_atom_site_fract_z
K1 0.000 0.000 0.000
K2 0.500 0.500 0.000
Si1 0.000 0.500 0.302
Si2 0.000 0.500 0.698
Si3 0.500 0.000 0.302
Si4 0.500 0.000 0.698
W1 0.000 0.000 0.500
W2 0.500 0.500 0.500

Which of them is the least stable? Correct choice: arrangement two.

Arrangement one

# PBE KSi2W, optimized geometry
# Fermi-level density of states ... 3.0 states/eV/cell
data_KSi2W
_space_group_name_H-M_alt 'P 1'
_space_group_IT_number 1
_cell_length_a 2.751
_cell_length_b 4.279
_cell_length_c 8.031
_cell_angle_alpha 90.00
_cell_angle_beta 90.00
_cell_angle_gamma 90.00
loop_
_space_group_symop_operation_xyz
'x,y,z'
loop_
_atom_site_label
_atom_site_fract_x
_atom_site_fract_y
_atom_site_fract_z
K1 0.000 0.000 0.000
Si1 0.000 0.000 0.597
Si2 0.500 0.500 0.294
W1 0.500 0.500 0.594

Arrangement two

# PBE KSi2W, optimized geometry
# Fermi-level density of states ... 2.0 states/eV/cell
data_KSi2W
_space_group_name_H-M_alt 'P 1'
_space_group_IT_number 1
_cell_length_a 5.138
_cell_length_b 5.138
_cell_length_c 2.699
_cell_angle_alpha 90.00
_cell_angle_beta 90.00
_cell_angle_gamma 90.00
loop_
_space_group_symop_operation_xyz
'x,y,z'
loop_
_atom_site_label
_atom_site_fract_x
_atom_site_fract_y
_atom_site_fract_z
K1 0.000 0.000 0.000
Si1 0.000 0.500 0.500
Si2 0.500 0.000 0.500
W1 0.500 0.500 0.000

Which of them is the least stable? Correct choice: arrangement two.

Arrangement one

# PBE KSi2W, optimized geometry
# Fermi-level density of states ... 2.1 states/eV/cell
data_KSi2W
_space_group_name_H-M_alt 'P 1'
_space_group_IT_number 1
_cell_length_a 2.757
_cell_length_b 2.757
_cell_length_c 9.635
_cell_angle_alpha 90.00
_cell_angle_beta 90.00
_cell_angle_gamma 90.00
loop_
_space_group_symop_operation_xyz
'x,y,z'
loop_
_atom_site_label
_atom_site_fract_x
_atom_site_fract_y
_atom_site_fract_z
K1 0.000 0.000 0.000
Si1 0.000 0.000 0.484
Si2 0.500 0.500 0.286
W1 0.500 0.500 0.680

Arrangement two

# PBE KSi2W, optimized geometry
# Fermi-level density of states ... 3.4 states/eV/cell
data_KSi2W
_space_group_name_H-M_alt 'P 1'
_space_group_IT_number 1
_cell_length_a 3.261
_cell_length_b 3.261
_cell_length_c 7.585
_cell_angle_alpha 90.00
_cell_angle_beta 90.00
_cell_angle_gamma 90.00
loop_
_space_group_symop_operation_xyz
'x,y,z'
loop_
_atom_site_label
_atom_site_fract_x
_atom_site_fract_y
_atom_site_fract_z
K1 0.000 0.000 0.000
Si1 0.500 0.500 0.335
Si2 0.500 0.500 0.665
W1 0.000 0.000 0.500

Arrangement three

# PBE KSi2W, optimized geometry
# Fermi-level density of states ... 21.1 states/eV/cell
data_KSi2W
_space_group_name_H-M_alt 'P 1'
_space_group_IT_number 1
_cell_length_a 6.607
_cell_length_b 6.607
_cell_length_c 6.607
_cell_angle_alpha 90.00
_cell_angle_beta 90.00
_cell_angle_gamma 90.00
loop_
_space_group_symop_operation_xyz
'x,y,z'
loop_
_atom_site_label
_atom_site_fract_x
_atom_site_fract_y
_atom_site_fract_z
K1 0.000 0.000 0.000
K2 0.000 0.500 0.500
K3 0.500 0.000 0.500
K4 0.500 0.500 0.000
Si1 0.250 0.250 0.250
Si2 0.250 0.250 0.750
Si3 0.250 0.750 0.250
Si4 0.250 0.750 0.750
Si5 0.750 0.250 0.250
Si6 0.750 0.250 0.750
Si7 0.750 0.750 0.250
Si8 0.750 0.750 0.750
W1 0.000 0.000 0.500
W2 0.000 0.500 0.000
W3 0.500 0.000 0.000
W4 0.500 0.500 0.500

Arrangement four

# PBE KSi2W, optimized geometry
# Fermi-level density of states ... 3.0 states/eV/cell
data_KSi2W
_space_group_name_H-M_alt 'P 1'
_space_group_IT_number 1
_cell_length_a 2.774
_cell_length_b 4.784
_cell_length_c 5.782
_cell_angle_alpha 90.00
_cell_angle_beta 90.00
_cell_angle_gamma 90.00
loop_
_space_group_symop_operation_xyz
'x,y,z'
loop_
_atom_site_label
_atom_site_fract_x
_atom_site_fract_y
_atom_site_fract_z
K1 0.000 0.000 0.000
Si1 0.000 0.500 0.500
Si2 0.500 0.500 0.000
W1 0.500 0.000 0.500

Which of them is the least stable? Correct choice: arrangement four.

Arrangement one

# PBE KSi3W, optimized geometry
# Fermi-level density of states ... 2.8 states/eV/cell
data_KSi3W
_space_group_name_H-M_alt 'P 1'
_space_group_IT_number 1
_cell_length_a 4.838
_cell_length_b 4.838
_cell_length_c 4.838
_cell_angle_alpha 90.00
_cell_angle_beta 90.00
_cell_angle_gamma 90.00
loop_
_space_group_symop_operation_xyz
'x,y,z'
loop_
_atom_site_label
_atom_site_fract_x
_atom_site_fract_y
_atom_site_fract_z
K1 0.000 0.000 0.000
Si1 0.000 0.500 0.500
Si2 0.500 0.000 0.500
Si3 0.500 0.500 0.000
W1 0.500 0.500 0.500

Arrangement two

# PBE KSi3W, optimized geometry
# Fermi-level density of states ... 11.6 states/eV/cell
data_KSi3W
_space_group_name_H-M_alt 'P 1'
_space_group_IT_number 1
_cell_length_a 4.767
_cell_length_b 4.767
_cell_length_c 4.767
_cell_angle_alpha 90.00
_cell_angle_beta 90.00
_cell_angle_gamma 90.00
loop_
_space_group_symop_operation_xyz
'x,y,z'
loop_
_atom_site_label
_atom_site_fract_x
_atom_site_fract_y
_atom_site_fract_z
K1 0.000 0.000 0.000
Si1 0.000 0.000 0.500
Si2 0.000 0.500 0.000
Si3 0.500 0.000 0.000
W1 0.500 0.500 0.500

Which of them is the least stable? Correct choice: arrangement two.